Entry from Alexandria via LeMat-Bulk: a relaxed structure of La4Co3O10 (GGA+U).

Geometry as extended XYZ:
```
17
Lattice="-1.9139 1.9139 14.3557 1.9139 -1.9139 14.3557 1.9139 1.9139 -14.3557" Properties=species:S:1:pos:R:3 pbc="T T T"
La 0.0000 0.0000 1.8747
La 0.0000 0.0000 5.7289
La 0.0000 0.0000 22.9825
La 0.0000 0.0000 26.8367
Co 0.0000 0.0000 10.3716
Co 0.0000 0.0000 14.3557
Co 0.0000 0.0000 18.3398
O 1.9139 0.0000 0.0000
O 1.9139 0.0000 4.0173
O 0.0000 0.0000 8.0847
O 1.9139 0.0000 10.3384
O 0.0000 0.0000 12.4472
O 0.0000 1.9139 0.0000
O 0.0000 0.0000 16.2642
O 0.0000 1.9139 4.0173
O 0.0000 0.0000 20.6267
O 0.0000 1.9139 10.3384
```

Values from the calculation:
For the density of states at the Fermi level, the calculation gives 0.782 states/eV/f.u. The value obtained for the total energy is -7.38 eV per atom.